(1)
First-principles (PBE-GGA) data for a geometry-optimized Pu4Ru2Rh structure, as listed in Alexandria via LeMat-Bulk.

Cell lengths 7.291, 7.291, 7.291 Å; angles 109.03, 110.36, 109.03 degrees
Element x y z (fractional)
Pu 0.131 0.891 0.377
Pu 0.623 0.753 0.513
Pu 0.990 0.609 0.737
Pu 0.263 0.253 0.873
Pu 0.619 0.747 0.010
Pu 0.760 0.247 0.869
Pu 0.487 0.109 0.240
Pu 0.127 0.391 0.381
Ru 0.875 0.117 0.492
Ru 0.508 0.383 0.625
Ru 0.375 0.883 0.758
Ru 0.242 0.617 0.125
Rh 0.000 0.000 0.000
Rh 0.750 0.500 0.250

The calculation puts the energy relative to the lowest polymorph listed for this composition at 0 meV per atom. As for the space group: I-42d (122). The calculation puts the formation energy at -0.18 eV/atom.

---

(2)
First-principles (PBE-GGA) data for a geometry-optimized Li3PuCu8 structure, as listed in Alexandria via LeMat-Bulk.

Cell lengths 4.964, 4.964, 8.294 Å; angles 90.00, 90.00, 120.00 degrees
Element x y z (fractional)
Li 0.667 0.333 0.405
Li 0.667 0.333 0.055
Li 0.000 0.000 0.962
Pu 0.000 0.000 0.565
Cu 0.333 0.667 0.499
Cu 0.333 0.667 0.000
Cu 0.502 0.004 0.759
Cu 0.502 0.498 0.759
Cu 0.996 0.498 0.759
Cu 0.166 0.333 0.246
Cu 0.166 0.834 0.246
Cu 0.667 0.834 0.246

As for the space group: P3m1 (156). The calculation puts the formation energy at -0.03 eV/atom.

---

(3)
First-principles (PBE-GGA) data for a geometry-optimized Y2HgOs structure, as listed in Alexandria via LeMat-Bulk.

Cell lengths 7.924, 5.009, 3.578 Å; angles 89.97, 63.20, 129.04 degrees
Element x y z (fractional)
Hg 0.000 0.500 0.500
Os 0.500 0.500 0.000
Y 0.000 0.000 0.000
Y 0.500 0.000 0.500

As for the space group: Cmmm (65). The calculation puts the formation energy at -0.24 eV/atom.

---

(4)
First-principles (PBE-GGA) data for a geometry-optimized La8NiOs3Cl4 structure, as listed in Alexandria via LeMat-Bulk.

Cell lengths 8.291, 9.025, 8.290 Å; angles 117.36, 120.00, 90.00 degrees
Element x y z (fractional)
La 0.238 0.703 0.966
La 0.238 0.703 0.475
La 0.264 0.292 0.528
La 0.728 0.703 0.966
La 0.272 0.297 0.034
La 0.736 0.708 0.472
La 0.762 0.297 0.525
La 0.762 0.297 0.034
Ni 0.000 0.500 0.000
Os 0.500 0.500 0.000
Os 0.500 0.500 0.500
Os 0.000 0.500 0.500
Cl 0.500 0.000 0.000
Cl 0.500 0.000 0.500
Cl 0.000 0.000 0.000
Cl 0.000 0.000 0.500

As for the raw formation energy: -0.97 eV per atom. As for the space group: R-3m (166).

---

(5)
First-principles (PBE-GGA) data for a geometry-optimized Li4InHg structure, as listed in Alexandria via LeMat-Bulk.

Cell lengths 5.349, 5.349, 5.349 Å; angles 60.00, 60.00, 60.00 degrees
Element x y z (fractional)
Li 0.876 0.375 0.375
Li 0.375 0.375 0.876
Li 0.375 0.876 0.375
Li 0.375 0.375 0.375
In 0.000 0.000 0.000
Hg 0.750 0.750 0.750

The calculation puts the energy relative to the lowest polymorph listed for this composition at 139 meV per atom. As for the space group: F-43m (216). The calculation puts the formation energy at -0.14 eV/atom.

---

(6)
First-principles (PBE-GGA) data for a geometry-optimized CsCaHg2Pt structure, as listed in Alexandria via LeMat-Bulk.

Cell lengths 5.527, 5.527, 5.413 Å; angles 90.00, 90.00, 90.00 degrees
Element x y z (fractional)
Cs 0.500 0.500 0.500
Ca 0.000 0.000 0.500
Hg 0.000 0.500 0.000
Hg 0.500 0.000 0.000
Pt 0.000 0.000 0.000

As for the space group: P4/mmm (123). The calculation puts the formation energy at -0.33 eV/atom.

---

(7)
First-principles (PBE-GGA) data for a geometry-optimized Ce2TiTl structure, as listed in Alexandria via LeMat-Bulk.

Cell lengths 3.981, 3.981, 6.597 Å; angles 90.00, 90.00, 90.00 degrees
Element x y z (fractional)
Tl 0.500 0.500 0.500
Ce 0.000 0.000 0.781
Ce 0.000 0.000 0.219
Ti 0.500 0.500 0.000

The calculation puts the energy relative to the lowest polymorph listed for this composition at 100 meV per atom. As for the space group: P4/mmm (123). The calculation puts the formation energy at 0.09 eV/atom.

---

(8)
First-principles (PBE-GGA) data for a geometry-optimized Li2CoRu structure, as listed in Alexandria via LeMat-Bulk.

Cell lengths 4.216, 2.531, 4.773 Å; angles 89.94, 90.00, 90.00 degrees
Element x y z (fractional)
Co 0.500 0.876 0.687
Li 0.000 0.875 0.048
Li 0.500 0.374 0.202
Ru 0.000 0.376 0.563

The calculation puts the energy relative to the lowest polymorph listed for this composition at 10 meV per atom. As for the space group: Pmm2 (25). The calculation puts the formation energy at 0.13 eV/atom.

---

(9)
First-principles (PBE-GGA) data for a geometry-optimized TeOs2Pb structure, as listed in Alexandria via LeMat-Bulk.

Cell lengths 4.105, 4.105, 7.991 Å; angles 86.32, 86.32, 42.71 degrees
Element x y z (fractional)
Os 0.008 0.008 0.954
Os 0.745 0.745 0.808
Pb 0.473 0.473 0.554
Te 0.274 0.274 0.185

As for the raw formation energy: 0.63 eV per atom. The calculation puts the energy relative to the lowest polymorph listed for this composition at 152 meV per atom. As for the space group: Cm (8).

---

(10)
First-principles (PBE-GGA) data for a geometry-optimized TaIr3Cl structure, as listed in Alexandria via LeMat-Bulk.

Cell lengths 4.862, 4.862, 4.862 Å; angles 90.00, 90.00, 90.00 degrees
Element x y z (fractional)
Cl 0.500 0.500 0.500
Ir 0.000 0.500 0.000
Ir 0.000 0.000 0.500
Ir 0.500 0.000 0.000
Ta 0.000 0.000 0.000

As for the raw formation energy: 1.78 eV per atom. The calculation puts the energy relative to the lowest polymorph listed for this composition at 372 meV per atom. As for the space group: Pm-3m (221).

---

(11)
First-principles (PBE-GGA) data for a geometry-optimized TcGeAs2N structure, as listed in Alexandria via LeMat-Bulk.

Cell lengths 5.024, 3.697, 5.024 Å; angles 90.00, 90.00, 90.00 degrees
Element x y z (fractional)
As 0.000 0.000 0.500
As 0.500 0.000 0.000
Ge 0.500 0.500 0.500
Tc 0.000 0.000 0.000
N 0.000 0.500 0.000

As for the raw formation energy: 0.46 eV per atom. As for the space group: P4/mmm (123).

---

Question: Number 5 is which compound?
Answer: Li4InHg